The following is a GGA-PBEsol calculation of a relaxed structure of ZrIrRh2, from the Alexandria database.

Lattice parameters (Å, degrees): 3.9313 3.9313 4.7911 114.22 114.22 90.00
Closest atoms and distances in Å follow each position.
Fractional coordinates of all 4 atoms:
Zr  0.0000  0.0000  0.0000  8 Rh 2.77, 4 Ir 2.78
Rh  0.7500  0.2500  0.5000  4 Zr 2.77, 4 Ir 2.77, 4 Rh 2.78
Ir  0.5000  0.5000  0.0000  8 Rh 2.77, 4 Zr 2.78
Rh  0.2500  0.7500  0.5000  4 Ir 2.77, 4 Zr 2.77, 4 Rh 2.78

Results
volume = 60 Å³ per cell
VASP energy = -9.36 eV/atom



The following is a GGA-PBEsol calculation of a relaxed structure of HfTaCr3, from the Alexandria database.

Lattice parameters (Å, degrees): 4.4696 4.4696 4.4696 90.00 90.00 90.00
Closest atoms and distances in Å follow each position.
Fractional coordinates of all 5 atoms:
Cr  0.0000  0.5000  0.0000  2 Ta 2.23
Ta  0.0000  0.0000  0.0000  6 Cr 2.23
Cr  0.5000  0.0000  0.0000  2 Ta 2.23
Cr  0.0000  0.0000  0.5000  2 Ta 2.23
Hf  0.5000  0.5000  0.5000  12 Cr 3.16

Results
volume = 89 Å³ per cell
VASP energy = -9.29 eV/atom



The following is a GGA-PBEsol calculation of a relaxed structure of ZnRu2Au, from the Alexandria database.

Lattice parameters (Å, degrees): 2.9905 4.4207 5.0511 115.95 107.22 90.00
Closest atoms and distances in Å follow each position.
Fractional coordinates of all 4 atoms:
Au  0.2395  0.7395  0.4790  2 Zn 2.56, 6 Ru 2.67-2.75
Ru  0.0082  0.0082  0.0163  2 Ru 2.59, 4 Zn 2.67, 2 Au 2.75
Ru  0.7546  0.2546  0.5092  2 Zn 2.57, 2 Ru 2.59, 4 Au 2.67
Zn  0.4977  0.4977  0.9955  2 Au 2.56, 6 Ru 2.57-2.67

Results
volume = 57 Å³ per cell
VASP energy = -6.19 eV/atom



Energy of formation from the pure elements per entry: -567 1466 275 meV/atom